DFT (PBE-GGA) results for an optimized crystal structure of NaSnBr3.

Unit cell a=5.824 b=5.824 c=5.824 alpha=90.00 beta=90.00 gamma=90.00
Fractional positions:
Na 0.500 0.500 0.500
Br 0.000 0.000 0.500
Br 0.500 0.000 0.000
Br 0.000 0.500 0.000
Sn 0.000 0.000 0.000

Output
**Uncorrected energy**: -2.9754 eV/atom
**Formation energy from raw total energies**: -0.91 eV/atom
**Crystal system**: cubic